[1]
{"formula": "Pr2DyIn3Hg6", "functional": "GGA-PBE", "state": "optimized geometry", "e_form_kj_per_mol_atoms": -9.3, "density_g_cm3": 8.76, "lattice_angstrom": [[4.3147, 0.0000, 0.0000], [0.0000, 4.3147, 0.0000], [0.0000, 0.0000, 20.2791]], "species": ["Pr", "Pr", "Dy", "In", "In", "In", "Hg", "Hg", "Hg", "Hg", "Hg", "Hg"], "frac_coords": [[0.0000, 0.0000, 0.2194], [0.0000, 0.0000, 0.7806], [0.0000, 0.0000, 0.5000], [0.5000, 0.5000, 0.0000], [0.5000, 0.5000, 0.2823], [0.5000, 0.5000, 0.7177], [0.0000, 0.5000, 0.3888], [0.0000, 0.5000, 0.6112], [0.5000, 0.0000, 0.3888], [0.5000, 0.0000, 0.6112], [0.5000, 0.5000, 0.1377], [0.5000, 0.5000, 0.8623]]}

---

[2]
{"formula": "SrSbAs", "functional": "GGA-PBE", "state": "optimized geometry", "density_g_cm3": 4.70, "e_form_raw_ev_per_atom": -0.497, "lattice_angstrom": [[-2.1766, 2.1766, 5.3007], [2.1766, -2.1766, 5.3007], [2.1766, 2.1766, -5.3007]], "species": ["Sr", "Sb", "As"], "frac_coords": [[0.0000, 0.0000, 0.0000], [0.6694, 0.6694, 0.0000], [0.4280, 0.4280, 0.0000]]}

---

[3]
{"formula": "LiYAg2", "functional": "GGA-PBE", "state": "optimized geometry", "e_form_kj_per_mol_atoms": -16.7, "density_g_cm3": 6.09, "lattice_angstrom": [[3.3154, 0.0000, 0.0000], [0.0000, 4.9332, 0.0000], [-0.0096, 0.0000, 5.1986]], "species": ["Li", "Y", "Ag", "Ag"], "frac_coords": [[0.0000, 0.0000, 0.0000], [0.9966, 0.5000, 0.4201], [0.4968, 0.0000, 0.5649], [0.4973, 0.5000, 0.9191]]}

---

[4]
{"formula": "La2Pm9Sm", "functional": "GGA-PBE", "state": "optimized geometry", "e_form_kj_per_mol_atoms": 5.3, "density_g_cm3": 6.92, "lattice_angstrom": [[11.6070, 0.0000, 0.0000], [-5.8035, 10.0520, 0.0000], [0.0000, 0.0000, 3.5651]], "species": ["La", "La", "Pm", "Pm", "Pm", "Pm", "Pm", "Pm", "Pm", "Pm", "Pm", "Sm"], "frac_coords": [[0.3333, 0.6667, 0.0000], [0.6667, 0.3333, 0.0000], [0.0000, 0.5000, 0.0000], [0.1709, 0.3418, 0.5000], [0.1709, 0.8291, 0.5000], [0.3418, 0.1709, 0.5000], [0.5000, 0.0000, 0.0000], [0.5000, 0.5000, 0.0000], [0.6582, 0.8291, 0.5000], [0.8291, 0.1709, 0.5000], [0.8291, 0.6582, 0.5000], [0.0000, 0.0000, 0.0000]]}

---

[5]
{"formula": "ZnRh2Pb", "functional": "GGA-PBE", "state": "optimized geometry", "e_form_kj_per_mol_atoms": 17.6, "density_g_cm3": 11.03, "lattice_angstrom": [[-3.5197, 3.5197, 2.9062], [3.5197, -3.5197, 2.9062], [3.5197, 3.5197, -2.9062]], "species": ["Zn", "Zn", "Rh", "Rh", "Rh", "Rh", "Pb", "Pb"], "frac_coords": [[0.0000, 0.0000, 0.0000], [0.7500, 0.2500, 0.5000], [0.0983, 0.6250, 0.9733], [0.3750, 0.3483, 0.4733], [0.6517, 0.1250, 0.0267], [0.8750, 0.9017, 0.5267], [0.2500, 0.7500, 0.5000], [0.5000, 0.5000, 0.0000]]}

---

[6]
{"formula": "K2SnAu2S4", "functional": "GGA-PBE", "state": "optimized geometry", "density_g_cm3": 4.57, "e_form_raw_ev_per_atom": -0.686, "lattice_angstrom": [[7.4564, 0.0000, 0.0000], [3.2402, 7.8276, 0.0000], [1.3337, 2.7740, 8.9471]], "species": ["K", "K", "K", "K", "Sn", "Sn", "Au", "Au", "Au", "Au", "S", "S", "S", "S", "S", "S", "S", "S"], "frac_coords": [[0.0219, 0.2528, 0.0741], [0.2238, 0.1870, 0.5805], [0.7762, 0.8130, 0.4195], [0.9781, 0.7472, 0.9259], [0.3795, 0.7160, 0.1970], [0.6205, 0.2840, 0.8030], [0.2545, 0.6674, 0.5736], [0.4664, 0.2859, 0.1649], [0.5336, 0.7141, 0.8351], [0.7455, 0.3326, 0.4264], [0.2191, 0.4975, 0.2559], [0.2337, 0.9076, 0.3615], [0.2695, 0.4197, 0.7770], [0.2959, 0.9156, 0.9426], [0.7041, 0.0844, 0.0574], [0.7305, 0.5803, 0.2230], [0.7663, 0.0924, 0.6385], [0.7809, 0.5025, 0.7441]]}

---

[7]
{"formula": "ErPtN", "functional": "GGA-PBE", "state": "optimized geometry", "density_g_cm3": 12.61, "e_form_raw_ev_per_atom": -0.539, "lattice_angstrom": [[1.6423, -8.7421, 0.0000], [1.6423, 8.7421, 0.0000], [0.0000, 0.0000, 3.4526]], "species": ["Er", "Er", "Pt", "Pt", "N", "N"], "frac_coords": [[0.0824, 0.9176, 0.7500], [0.9176, 0.0824, 0.2500], [0.2243, 0.7757, 0.2500], [0.7757, 0.2243, 0.7500], [0.4311, 0.5689, 0.7500], [0.5689, 0.4311, 0.2500]]}

---

[8]
{"formula": "IrAu", "functional": "GGA-PBE", "state": "optimized geometry", "e_form_kj_per_mol_atoms": 32.7, "density_g_cm3": 19.79, "lattice_angstrom": [[6.2779, -1.4080, 0.0000], [6.2779, 1.4080, 0.0000], [-1.3139, 0.0000, 5.5420]], "species": ["Ir", "Ir", "Ir", "Au", "Au", "Au"], "frac_coords": [[0.0000, 0.0000, 0.0000], [0.0023, 0.0023, 0.5100], [0.3626, 0.3626, 0.1835], [0.3381, 0.3381, 0.6711], [0.6713, 0.6713, 0.3335], [0.6724, 0.6724, 0.8478]]}

---

[9]
{"formula": "B5C7", "functional": "GGA-PBE", "state": "optimized geometry", "e_form_kj_per_mol_atoms": 35.9, "density_g_cm3": 2.89, "lattice_angstrom": [[3.7383, 0.0000, 0.0000], [-1.6680, 4.1783, 0.0000], [-0.2728, -1.4585, 5.0736]], "species": ["B", "B", "B", "B", "B", "C", "C", "C", "C", "C", "C", "C"], "frac_coords": [[0.0000, 0.0000, 0.0000], [0.0367, 0.0096, 0.4021], [0.3599, 0.0249, 0.6567], [0.6230, 0.6577, 0.3815], [0.9598, 0.3967, 0.5585], [0.3323, 0.9902, 0.1900], [0.3669, 0.6500, 0.1111], [0.3985, 0.6822, 0.6317], [0.6114, 0.6649, 0.8780], [0.7202, 0.3618, 0.8014], [0.7356, 0.2849, 0.2646], [0.9653, 0.3448, 0.0321]]}

---

[10]
{"formula": "Ge3N4", "functional": "GGA-PBE", "state": "optimized geometry", "density_g_cm3": 6.16, "e_form_raw_ev_per_atom": 0.157, "lattice_angstrom": [[10.1069, 0.0000, 0.0000], [0.0000, 5.9669, 0.0000], [0.0000, 0.0000, 4.9011]], "species": ["Ge", "Ge", "Ge", "Ge", "Ge", "Ge", "Ge", "Ge", "Ge", "Ge", "Ge", "Ge", "N", "N", "N", "N", "N", "N", "N", "N", "N", "N", "N", "N", "N", "N", "N", "N"], "frac_coords": [[0.0000, 0.0000, 0.0000], [0.0000, 0.5000, 0.0000], [0.0953, 0.2500, 0.4472], [0.2209, 0.7500, 0.4853], [0.2791, 0.2500, 0.9853], [0.4047, 0.7500, 0.9472], [0.5000, 0.0000, 0.5000], [0.5000, 0.5000, 0.5000], [0.5953, 0.2500, 0.0528], [0.7209, 0.7500, 0.0147], [0.7791, 0.2500, 0.5147], [0.9047, 0.7500, 0.5528], [0.0693, 0.7500, 0.7425], [0.0945, 0.2500, 0.8192], [0.1623, 0.0045, 0.2561], [0.1623, 0.4955, 0.2561], [0.3377, 0.5045, 0.7561], [0.3377, 0.9955, 0.7561], [0.4056, 0.7500, 0.3192], [0.4307, 0.2500, 0.2425], [0.5693, 0.7500, 0.7575], [0.5944, 0.2500, 0.6808], [0.6623, 0.0045, 0.2439], [0.6623, 0.4955, 0.2439], [0.8377, 0.5045, 0.7439], [0.8377, 0.9955, 0.7439], [0.9056, 0.7500, 0.1808], [0.9307, 0.2500, 0.2575]]}

---

[11]
{"formula": "LiZr2Hg2S6", "functional": "GGA-PBE", "state": "optimized geometry", "density_g_cm3": 5.19, "e_form_raw_ev_per_atom": -0.915, "lattice_angstrom": [[3.2479, -5.7526, 0.0000], [3.2479, 5.7526, 0.0000], [-2.1629, 0.0000, 6.7047]], "species": ["Li", "Zr", "Zr", "Hg", "Hg", "S", "S", "S", "S", "S", "S"], "frac_coords": [[0.0000, 0.0000, 0.0000], [0.3379, 0.6621, 0.0000], [0.6621, 0.3379, 0.0000], [0.1649, 0.8351, 0.5000], [0.8351, 0.1649, 0.5000], [0.0672, 0.4333, 0.2233], [0.2622, 0.2622, 0.7940], [0.4333, 0.0672, 0.2233], [0.5667, 0.9328, 0.7767], [0.7378, 0.7378, 0.2060], [0.9328, 0.5667, 0.7767]]}

---

[12]
{"formula": "PaSn2Pd2", "functional": "GGA-PBE", "state": "optimized geometry", "e_form_kj_per_mol_atoms": -44.9, "density_g_cm3": 9.93, "lattice_angstrom": [[4.7598, 0.0000, 0.0000], [0.0000, 4.7878, 0.0000], [0.0000, 0.0000, 9.9994]], "species": ["Pa", "Pa", "Sn", "Sn", "Sn", "Sn", "Pd", "Pd", "Pd", "Pd"], "frac_coords": [[0.2500, 0.2500, 0.1744], [0.7500, 0.7500, 0.8256], [0.2500, 0.2500, 0.5077], [0.2500, 0.2500, 0.8242], [0.7500, 0.7500, 0.1758], [0.7500, 0.7500, 0.4923], [0.2500, 0.7500, 0.0241], [0.2500, 0.7500, 0.6599], [0.7500, 0.2500, 0.3401], [0.7500, 0.2500, 0.9759]]}

---

[13]
{"formula": "Re2NiAs", "functional": "GGA-PBE", "state": "optimized geometry", "e_form_kj_per_mol_atoms": 58.5, "density_g_cm3": 14.17, "lattice_angstrom": [[1.5621, -2.1386, 0.0000], [1.5621, 2.1386, 0.0000], [0.0000, 0.0000, 8.8720]], "species": ["Re", "Re", "Ni", "As"], "frac_coords": [[0.0000, 0.0000, 0.2269], [0.0000, 0.0000, 0.7731], [0.5000, 0.5000, 0.0000], [0.5000, 0.5000, 0.5000]]}

---

[14]
{"formula": "HfTlW2", "functional": "GGA-PBE", "state": "optimized geometry", "e_form_kj_per_mol_atoms": 82.1, "density_g_cm3": 16.67, "lattice_angstrom": [[0.0000, 3.3438, 3.3438], [3.3438, 0.0000, 3.3438], [3.3438, 3.3438, 0.0000]], "species": ["Hf", "Tl", "W", "W"], "frac_coords": [[0.0000, 0.0000, 0.0000], [0.5000, 0.5000, 0.5000], [0.2500, 0.2500, 0.2500], [0.7500, 0.7500, 0.7500]]}

---

[15]
{"formula": "In2SnTe2", "functional": "GGA-PBE", "state": "optimized geometry", "density_g_cm3": 6.34, "e_form_raw_ev_per_atom": -0.022, "lattice_angstrom": [[-2.9273, 2.9273, 4.6117], [2.9273, -2.9273, 4.6117], [2.9273, 2.9273, -4.6117]], "species": ["In", "In", "Sn", "Te", "Te"], "frac_coords": [[0.1530, 0.1530, 0.0000], [0.8470, 0.8470, 0.0000], [0.5000, 0.5000, 0.0000], [0.2500, 0.7500, 0.5000], [0.7500, 0.2500, 0.5000]]}

---

[16]
{"formula": "AlCuBr2", "functional": "GGA-PBE", "state": "optimized geometry", "density_g_cm3": 4.59, "e_form_raw_ev_per_atom": 0.117, "lattice_angstrom": [[3.4750, 0.0000, 0.0000], [0.0000, 3.4750, 0.0000], [0.0000, 0.0000, 7.5017]], "species": ["Al", "Cu", "Br", "Br"], "frac_coords": [[0.0000, 0.0000, 0.0000], [0.0000, 0.0000, 0.5000], [0.5000, 0.5000, 0.2773], [0.5000, 0.5000, 0.7227]]}

---

[17]
{"formula": "MnGaP2Cl", "functional": "GGA-PBE", "state": "optimized geometry", "density_g_cm3": 3.15, "e_form_raw_ev_per_atom": 1.249, "lattice_angstrom": [[4.6686, 0.0000, 0.0000], [0.0000, 4.6686, 0.0000], [0.0000, 0.0000, 5.3703]], "species": ["Mn", "Ga", "P", "P", "Cl"], "frac_coords": [[0.0000, 0.0000, 0.0000], [0.5000, 0.5000, 0.5000], [0.0000, 0.5000, 0.5000], [0.5000, 0.0000, 0.5000], [0.5000, 0.5000, 0.0000]]}

---

[18]
{"formula": "PmY2Ru", "functional": "GGA-PBE", "state": "optimized geometry", "e_form_kj_per_mol_atoms": -25.0, "density_g_cm3": 6.37, "lattice_angstrom": [[1.9540, -6.1011, 0.0000], [1.9540, 6.1011, 0.0000], [0.0000, 0.0000, 9.2686]], "species": ["Pm", "Pm", "Y", "Y", "Y", "Y", "Ru", "Ru"], "frac_coords": [[0.0763, 0.9237, 0.7500], [0.9237, 0.0763, 0.2500], [0.3556, 0.6444, 0.5694], [0.3556, 0.6444, 0.9306], [0.6444, 0.3556, 0.0694], [0.6444, 0.3556, 0.4306], [0.2570, 0.7430, 0.2500], [0.7430, 0.2570, 0.7500]]}

---

[19]
{"formula": "SnHgPd3", "functional": "GGA-PBE", "state": "optimized geometry", "e_form_kj_per_mol_atoms": -26.1, "density_g_cm3": 11.36, "lattice_angstrom": [[7.3984, 0.0000, 0.0000], [0.0000, 7.4086, 0.0000], [0.0000, 0.0000, 6.8145]], "species": ["Sn", "Sn", "Sn", "Sn", "Hg", "Hg", "Hg", "Hg", "Pd", "Pd", "Pd", "Pd", "Pd", "Pd", "Pd", "Pd", "Pd", "Pd", "Pd", "Pd"], "frac_coords": [[0.1565, 0.2500, 0.0835], [0.3435, 0.7500, 0.5835], [0.6565, 0.2500, 0.4165], [0.8435, 0.7500, 0.9165], [0.0000, 0.0000, 0.5000], [0.0000, 0.5000, 0.5000], [0.5000, 0.0000, 0.0000], [0.5000, 0.5000, 0.0000], [0.1346, 0.7500, 0.2202], [0.1488, 0.5534, 0.8611], [0.1488, 0.9466, 0.8611], [0.3512, 0.0534, 0.3611], [0.3512, 0.4466, 0.3611], [0.3654, 0.2500, 0.7202], [0.6346, 0.7500, 0.2798], [0.6488, 0.5534, 0.6389], [0.6488, 0.9466, 0.6389], [0.8512, 0.0534, 0.1389], [0.8512, 0.4466, 0.1389], [0.8654, 0.2500, 0.7798]]}

---

[20]
{"formula": "CeSm2Hg3", "functional": "GGA-PBE", "state": "optimized geometry", "e_form_kj_per_mol_atoms": -39.7, "density_g_cm3": 10.45, "lattice_angstrom": [[3.7839, 0.0000, 0.0000], [0.0000, 3.7839, 0.0000], [0.0000, 0.0000, 11.5661]], "species": ["Ce", "Sm", "Sm", "Hg", "Hg", "Hg"], "frac_coords": [[0.0000, 0.0000, 0.0000], [0.0000, 0.0000, 0.3355], [0.0000, 0.0000, 0.6645], [0.5000, 0.5000, 0.1730], [0.5000, 0.5000, 0.5000], [0.5000, 0.5000, 0.8270]]}

---

[21]
{"formula": "Ca2InP", "functional": "GGA-PBE", "state": "optimized geometry", "e_form_kj_per_mol_atoms": -8.8, "density_g_cm3": 3.58, "lattice_angstrom": [[0.0000, 3.7418, 3.7418], [3.7418, 0.0000, 3.7418], [3.7418, 3.7418, 0.0000]], "species": ["Ca", "Ca", "In", "P"], "frac_coords": [[0.0000, 0.0000, 0.0000], [0.2500, 0.2500, 0.2500], [0.5000, 0.5000, 0.5000], [0.7500, 0.7500, 0.7500]]}

---

[22]
{"formula": "K2In4Au3", "functional": "GGA-PBE", "state": "optimized geometry", "e_form_kj_per_mol_atoms": -23.1, "density_g_cm3": 7.90, "lattice_angstrom": [[3.1895, -8.6419, 0.0000], [3.1895, 8.6419, 0.0000], [0.0000, 0.0000, 8.6099]], "species": ["K", "K", "K", "K", "In", "In", "In", "In", "In", "In", "In", "In", "Au", "Au", "Au", "Au", "Au", "Au"], "frac_coords": [[0.1045, 0.8955, 0.8890], [0.3955, 0.6045, 0.3890], [0.6045, 0.3955, 0.6110], [0.8955, 0.1045, 0.1110], [0.1822, 0.3178, 0.7500], [0.1899, 0.8101, 0.5130], [0.3101, 0.6899, 0.0130], [0.3178, 0.1822, 0.2500], [0.6822, 0.8178, 0.7500], [0.6899, 0.3101, 0.9870], [0.8101, 0.1899, 0.4870], [0.8178, 0.6822, 0.2500], [0.0000, 0.0000, 0.5000], [0.0181, 0.4819, 0.7500], [0.4819, 0.0181, 0.2500], [0.5000, 0.5000, 0.0000], [0.5181, 0.9819, 0.7500], [0.9819, 0.5181, 0.2500]]}

---

[23]
{"formula": "Sr2TaAl", "functional": "GGA-PBE", "state": "optimized geometry", "e_form_kj_per_mol_atoms": 71.9, "density_g_cm3": 5.75, "lattice_angstrom": [[1.6896, 0.9755, 11.1957], [-1.6896, 0.9755, 11.1957], [0.0000, -1.9509, 11.1957]], "species": ["Sr", "Sr", "Ta", "Al"], "frac_coords": [[0.2503, 0.2503, 0.2503], [0.7497, 0.7497, 0.7497], [0.0000, 0.0000, 0.0000], [0.5000, 0.5000, 0.5000]]}